The following is a PBE calculation of crystalline RePt2Se at its relaxed geometry, from the Alexandria database.

For the raw formation energy, the calculation gives 0.10 eV/atom.

It has space group P4/mmm (No. 123), with a = 2.803 Å, b = 2.803 Å, c = 8.402 Å, α = 90.00°, β = 90.00° and γ = 90.00°. Symmetry generates all atoms from Re at (0.000, 0.000, 0.000), Pt at (0.500, 0.500, 0.223) and Se at (0.000, 0.000, 0.500).